Entry 1:
This record from Alexandria via LeMat-Bulk describes a geometry-optimized ScSnPd6 structure. The functional is GGA-PBE.

- M_tot: 0.00 μB/f.u.
- Uncorrected energy: -5.55 eV/atom
- Space-group type: C2/m, No. 12
- Calculated formation energy: -279 kJ/mol of formula units

Cell and atoms, written as POSCAR:
```
ScSnPd6
1.0
4.755 0.695 0.058
1.050 4.689 0.058
1.709 1.585 6.931
Pd Sc Sn
6 1 1
direct
0.458 0.940 0.698
0.060 0.542 0.302
0.940 0.458 0.698
0.355 0.355 0.936
0.645 0.645 0.064
0.542 0.060 0.302
0.500 0.500 0.500
0.000 0.000 0.000
```

***

Entry 2:
This record from Alexandria via LeMat-Bulk describes a geometry-optimized Sc2SnPd4 structure. The functional is GGA-PBE.

- M_tot: 0.00 μB/f.u.
- Uncorrected energy: -6.03 eV/atom
- Space-group type: R-3m, No. 166
- Calculated formation energy: -462 kJ/mol of formula units

Cell and atoms, written as POSCAR:
```
Sc2SnPd4
1.0
4.462 0.000 1.394
2.013 3.982 1.394
0.221 0.136 7.132
Pd Sn Sc
4 1 2
direct
0.582 0.582 0.255
0.137 0.137 0.588
0.418 0.418 0.745
0.863 0.863 0.412
0.000 0.000 0.000
0.268 0.268 0.196
0.732 0.732 0.804
```

***

Entry 3:
This record from Alexandria via LeMat-Bulk describes a geometry-optimized Sc8SnPd2 structure. The functional is GGA-PBE.

- M_tot: 0.04 μB/f.u.
- Uncorrected energy: -6.30 eV/atom
- Space-group type: C2/m, No. 12
- Calculated formation energy: -415 kJ/mol of formula units

Cell and atoms, written as POSCAR:
```
Sc8SnPd2
1.0
-4.895 0.188 0.926
2.519 -1.823 7.019
1.116 7.255 -2.249
Sc Pd Sn
8 2 1
direct
0.087 0.328 0.089
0.087 0.089 0.328
0.302 0.599 0.599
0.913 0.672 0.911
0.500 0.236 0.764
0.698 0.401 0.401
0.913 0.911 0.672
0.500 0.764 0.236
0.000 0.302 0.698
0.000 0.698 0.302
0.500 0.000 0.000
```

***

Entry 4:
This record from Alexandria via LeMat-Bulk describes a geometry-optimized Sc2SnPd3 structure. The functional is GGA-PBE.

- M_tot: 0.00 μB/f.u.
- Uncorrected energy: -6.05 eV/atom
- Space-group type: Cmcm, No. 63
- Calculated formation energy: -391 kJ/mol of formula units

Cell and atoms, written as POSCAR:
```
Sc2SnPd3
1.0
-2.964 1.598 4.526
4.713 -2.480 3.962
1.668 6.323 -1.139
Sn Pd Sc
2 6 4
direct
0.720 0.786 0.786
0.220 0.214 0.214
0.470 0.844 0.155
0.470 0.500 0.500
0.470 0.155 0.844
0.970 0.156 0.845
0.970 0.845 0.156
0.970 0.500 0.500
0.720 0.477 0.135
0.220 0.865 0.523
0.720 0.135 0.477
0.220 0.523 0.865
```

***

Entry 5:
This record from Alexandria via LeMat-Bulk describes a geometry-optimized Sc2Sn3Pd8 structure. The functional is GGA-PBE.

- M_tot: 0.00 μB/f.u.
- Uncorrected energy: -5.53 eV/atom
- Space-group type: R-3m, No. 166
- Calculated formation energy: -543 kJ/mol of formula units

Cell and atoms, written as POSCAR:
```
Sc2Sn3Pd8
1.0
-0.014 -2.465 -4.741
4.145 0.576 -3.323
5.758 -8.532 1.407
Pd Sc Sn
8 2 3
direct
0.223 0.727 0.324
0.273 0.777 0.676
0.727 0.223 0.324
0.280 0.280 0.160
0.777 0.273 0.676
0.273 0.273 0.676
0.720 0.720 0.840
0.727 0.727 0.324
0.367 0.367 0.898
0.633 0.633 0.102
0.190 0.190 0.430
0.000 0.000 0.000
0.810 0.810 0.570
```

***

Entry 6:
This record from Alexandria via LeMat-Bulk describes a geometry-optimized ScSn3Pd6 structure. The functional is GGA-PBE.

- M_tot: 0.00 μB/f.u.
- Uncorrected energy: -5.47 eV/atom
- Space-group type: P2_1/m, No. 11
- Calculated formation energy: -502 kJ/mol of formula units

Cell and atoms, written as POSCAR:
```
ScSn3Pd6
1.0
-3.637 -1.879 -1.361
1.305 -7.037 6.225
-5.716 9.598 2.024
Sn Pd Sc
6 12 2
direct
0.250 0.294 0.501
0.250 0.832 0.917
0.250 0.489 0.174
0.750 0.168 0.083
0.750 0.511 0.826
0.750 0.706 0.499
0.250 0.899 0.510
0.750 0.493 0.586
0.250 0.268 0.728
0.250 0.141 0.207
0.250 0.612 0.007
0.750 0.732 0.272
0.250 0.507 0.414
0.750 0.859 0.793
0.750 0.388 0.993
0.750 0.101 0.490
0.250 0.132 0.906
0.750 0.868 0.094
0.250 0.911 0.276
0.750 0.089 0.724
```